Entry from Alexandria via LeMat-Bulk: a relaxed structure of TlCr2ReO8 (PBE+U).

Summary:
total moment	6.00	μB per formula unit
electronic total energy	-173.61	eV per cell

a b c (Å): 6.4997 6.6686 6.5158
angles (deg): 90.00 90.00 90.00
Space group Cmmm (No. 65)
Inequivalent atoms, fractional coordinates:
Tl 0.0000 0.0000 0.0000
Cr 0.0000 0.5000 0.2561
Re 0.0000 0.0000 0.5000
O 0.0000 0.1997 0.2957
O 0.1798 0.5000 0.0000
O 0.2015 0.5000 0.5000